No. 1
Here is crystalline PtICl2 at its relaxed geometry from Alexandria. Energies are from GGA-PBE.

Results
Total moment, μB per formula unit: 1.68
Distance to the lowest polymorph of the same formula, eV per atom: 0.000
DOS at the Fermi energy, states/eV/atom: 0.74
Symmetry: No. 166
Formation energy (no corrections), eV per atom: 0.10

Cell lengths 11.4651, 11.4651, 11.4651 Å; angles 18.43, 18.43, 18.43 degrees
Site moments in Bohr magnetons follow the coordinates.
Atoms (fractional coordinates):
Cl 0.8741 0.8741 0.8741  0.28
Cl 0.1259 0.1259 0.1259  0.28
Pt 0.5000 0.5000 0.5000  1.18
I 0.0000 0.0000 0.0000  -0.17

No. 2
Here is crystalline CoAg2C at its relaxed geometry from Alexandria. Energies are from GGA-PBE.

Results
Total moment, μB per formula unit: 2.38
Total DFT energy (no corrections), eV/atom: -3.717
DOS at the Fermi energy, states/eV/atom: 1.67
Symmetry: No. 122

Cell lengths 4.6185, 4.6185, 7.3892 Å; angles 71.79, 71.79, 90.00 degrees
Site moments in Bohr magnetons follow the coordinates.
Atoms (fractional coordinates):
C 0.2500 0.7500 0.5000  0.09
C 0.5000 0.5000 0.0000  0.09
Ag 0.5298 0.1250 0.2500  0.05
Ag 0.3750 0.4702 0.7500  0.05
Ag 0.8750 0.7798 0.7500  0.05
Ag 0.2202 0.6250 0.2500  0.05
Co 0.0000 0.0000 0.0000  2.09
Co 0.7500 0.2500 0.5000  2.10

No. 3
Here is crystalline CaAcTb4S8 at its relaxed geometry from Alexandria. Energies are from GGA-PBE.

Results
Total moment, μB per formula unit: 0.00
DOS at the Fermi energy, states/eV/atom: 0.27
Symmetry: No. 160
Formation energy (no corrections), eV per atom: -1.99

Cell lengths 8.1549, 8.1549, 8.3325 Å; angles 60.70, 60.70, 60.00 degrees
Atoms (fractional coordinates):
Ca 0.3736 0.3736 0.8793
S 0.2509 0.7760 0.7221
S 0.2328 0.7465 0.2742
S 0.7465 0.2328 0.2742
S 0.2509 0.2509 0.7221
S 0.2396 0.2396 0.2812
S 0.7581 0.7581 0.7257
S 0.7760 0.2509 0.7221
S 0.7465 0.7465 0.2742
Tb 0.6262 0.6262 0.1215
Tb 0.4945 0.0017 0.5021
Tb 0.0017 0.4945 0.5021
Tb 0.0017 0.0017 0.5021
Ac 0.0010 0.0010 0.9970